Record 1
The following is a DFT calculation (PBE) of a relaxed Th2PdC crystal.

Its crystal system is orthorhombic. The value obtained for the density of states at the Fermi level is 0.76 states/eV/atom. The offset from the most stable computed form is 0.00 kcal/mol of atoms.

The structure belongs to space group Pnma (No. 62); the cell edges are 5.697, 4.222 and 15.578 Å and the angles 90.00°, 90.00° and 90.00°. The inequivalent atoms are Th at (0.142, 0.250, 0.098), Th at (0.149, 0.750, 0.328), Pd at (0.149, 0.250, 0.470) and C at (0.088, 0.750, 0.175).

=====

Record 2
The following is a DFT calculation (PBE) of a relaxed Ag6HgBi crystal.

The calculation puts the electronic total energy at -2.596 eV/atom. Its crystal system is hexagonal. The value obtained for the density of states at the Fermi level is 0.46 states/eV/atom.

The structure belongs to space group P-6m2 (No. 187); the cell edges are 6.1493, 6.1493 and 4.9107 Å and the angles 90.00°, 90.00° and 120.00°. The inequivalent atoms are Ag at (0.0158, 0.5079, 0.0000), Ag at (0.1686, 0.3373, 0.5000), Hg at (0.0000, 0.0000, 0.0000) and Bi at (0.6667, 0.3333, 0.5000).

=====

Record 3
The following is a DFT calculation (PBE) of a relaxed CdBW crystal.

Its crystal system is orthorhombic. The value obtained for the density of states at the Fermi level is 0.38 states/eV/atom. The offset from the most stable computed form is 7.02 kcal/mol of atoms.

The structure belongs to space group Amm2 (No. 38); the cell edges are 3.133, 4.896 and 13.468 Å and the angles 90.00°, 90.00° and 90.00°. The inequivalent atoms are Cd at (0.000, 0.000, 0.000), Cd at (0.000, 0.000, 0.383), B at (0.000, 0.198, 0.716), W at (0.500, 0.000, 0.183) and W at (0.500, 0.000, 0.797).

=====

Record 4
The following is a DFT calculation (PBE) of a relaxed NdPN2Cl crystal.

The calculation puts the uncorrected formation energy at -21.92 kcal/mol of atoms. Its crystal system is monoclinic. The value obtained for the density of states at the Fermi level is 0.21 states/eV/atom.

The structure belongs to space group P2_1/m (No. 11); the cell edges are 5.780, 3.640 and 8.788 Å and the angles 90.00°, 104.49° and 90.00°. The inequivalent atoms are Nd at (0.116, 0.250, 0.271), P at (0.446, 0.250, 0.894), N at (0.168, 0.250, 0.840), N at (0.344, 0.750, 0.187) and Cl at (0.252, 0.750, 0.532).

=====

Record 5
The following is a DFT calculation (PBE) of a relaxed Tl3ZnRh crystal.

Its crystal system is cubic. The value obtained for the density of states at the Fermi level is 1.35 states/eV/atom. The offset from the most stable computed form is 15.52 kcal/mol of atoms.

The structure belongs to space group Pm-3m (No. 221); the cell edges are 5.181, 5.181 and 5.181 Å and the angles 90.00°, 90.00° and 90.00°. The inequivalent atoms are Tl at (0.000, 0.000, 0.500), Zn at (0.000, 0.000, 0.000) and Rh at (0.500, 0.500, 0.500).

=====

Record 6
The following is a DFT calculation (PBE) of a relaxed Pm2PuScP4 crystal.

The calculation puts the electronic total energy at -7.883 eV/atom. Its crystal system is monoclinic. The value obtained for the density of states at the Fermi level is 1.43 states/eV/atom.

The structure belongs to space group P2/m (No. 10); the cell edges are 6.906, 4.017 and 6.930 Å and the angles 90.00°, 109.48° and 90.00°. The inequivalent atoms are Pm at (0.000, 0.000, 0.000), Pm at (0.500, 0.500, 0.000), Pu at (0.000, 0.500, 0.500), Sc at (0.500, 0.000, 0.500), P at (0.248, 0.000, 0.733) and P at (0.260, 0.500, 0.270).

=====

Record 7
The following is a DFT calculation (PBE) of a relaxed TcSbRh crystal.

The calculation puts the uncorrected formation energy at 3.83 kcal/mol of atoms. Its crystal system is trigonal. The value obtained for the density of states at the Fermi level is 1.36 states/eV/atom. The offset from the most stable computed form is 0.61 kcal/mol of atoms.

The structure belongs to space group P3m1 (No. 156); the cell edges are 4.4133, 4.4133 and 2.9908 Å and the angles 90.00°, 90.00° and 120.00°. The inequivalent atoms are Tc at (0.0000, 0.0000, 0.0000), Sb at (0.3333, 0.6667, 0.6619) and Rh at (0.6667, 0.3333, 0.4680).

=====

Record 8
The following is a DFT calculation (PBE) of a relaxed Pr6HgGe2Se3 crystal.

The calculation puts the uncorrected formation energy at -29.82 kcal/mol of atoms. Its crystal system is monoclinic. The value obtained for the density of states at the Fermi level is 0.53 states/eV/atom.

The structure belongs to space group C2/m (No. 12); the cell edges are 19.007, 4.323 and 8.748 Å and the angles 90.00°, 105.43° and 90.00°. The inequivalent atoms are Pr at (0.000, 0.000, 0.233), Pr at (0.170, 0.500, 0.075), Pr at (0.172, 0.500, 0.591), Hg at (0.000, 0.500, 0.500), Ge at (0.164, 0.000, 0.827), Se at (0.000, 0.500, 0.000) and Se at (0.167, 0.000, 0.331).

=====

Record 9
The following is a DFT calculation (PBE) of a relaxed RbHgIN2 crystal.

The calculation puts the uncorrected formation energy at 27.62 kcal/mol of atoms. Its crystal system is tetragonal. The value obtained for the density of states at the Fermi level is 0.32 states/eV/atom. The offset from the most stable computed form is 0.00 kcal/mol of atoms.

The structure belongs to space group P4/mmm (No. 123); the cell edges are 4.824, 4.824 and 6.578 Å and the angles 90.00°, 90.00° and 90.00°. The inequivalent atoms are Rb at (0.000, 0.000, 0.000), Hg at (0.500, 0.500, 0.500), I at (0.500, 0.500, 0.000) and N at (0.000, 0.500, 0.500).

=====

Record 10
The following is a DFT calculation (PBE) of a relaxed Si3Br crystal.

The calculation puts the uncorrected formation energy at 13.97 kcal/mol of atoms. Its crystal system is orthorhombic. The value obtained for the density of states at the Fermi level is 0.42 states/eV/atom. The offset from the most stable computed form is 8.01 kcal/mol of atoms.

The structure belongs to space group Immm (No. 71); the cell edges are 3.081, 4.684 and 10.290 Å and the angles 90.00°, 90.00° and 90.00°. The inequivalent atoms are Si at (0.000, 0.000, 0.000), Si at (0.000, 0.500, 0.293) and Br at (0.000, 0.000, 0.500).

=====

Record 11
The following is a DFT calculation (PBE) of a relaxed TiInAu crystal.

The calculation puts the electronic total energy at -4.823 eV/atom. Its crystal system is monoclinic. The value obtained for the density of states at the Fermi level is 0.62 states/eV/atom.

The structure belongs to space group Cm (No. 8); the cell edges are 10.607, 3.144 and 7.148 Å and the angles 90.00°, 105.38° and 90.00°. The inequivalent atoms are Ti at (0.000, 0.000, 0.000), Ti at (0.204, 0.500, 0.921), In at (0.162, 0.500, 0.320), In at (0.356, 0.000, 0.671), Au at (0.070, 0.000, 0.603) and Au at (0.373, 0.000, 0.227).

=====

Record 12
The following is a DFT calculation (PBE) of a relaxed BeAs2Pt crystal.

The calculation puts the electronic total energy at -4.505 eV/atom. Its crystal system is tetragonal. The value obtained for the density of states at the Fermi level is 0.55 states/eV/atom.

The structure belongs to space group I4/mmm (No. 139); the cell edges are 4.241, 4.241 and 7.049 Å and the angles 90.00°, 90.00° and 90.00°. The inequivalent atoms are Be at (0.000, 0.000, 0.000), As at (0.000, 0.500, 0.250) and Pt at (0.000, 0.000, 0.500).

=====

Record 13
The following is a DFT calculation (PBE) of a relaxed In2Bi2Br crystal.

The calculation puts the uncorrected formation energy at -2.15 kcal/mol of atoms. Its crystal system is tetragonal. The value obtained for the density of states at the Fermi level is 0.36 states/eV/atom. The offset from the most stable computed form is 0.00 kcal/mol of atoms.

The structure belongs to space group I4/mmm (No. 139); the cell edges are 4.475, 4.475 and 15.917 Å and the angles 90.00°, 90.00° and 90.00°. The inequivalent atoms are In at (0.000, 0.500, 0.250), Bi at (0.000, 0.000, 0.115) and Br at (0.000, 0.000, 0.500).